Record 1
Entry from Alexandria: PrHoGa2 after structural relaxation (PBE-GGA).

- mass density (g/cm³) = 7.7
- crystal system = tetragonal
- total energy (eV/atom) = -4.42
- formation enthalpy at 0 K (eV/atom) = -0.57

```
PrHoGa2
1.0
-0.082 2.067 -2.999
0.140 -2.996 -2.069
-7.248 -0.322 -0.023
Ga Ho Pr
2 1 1
Direct
0.000 0.000 0.231
0.000 0.000 0.769
0.500 0.500 0.000
0.500 0.500 0.500
```

=====

Record 2
Entry from Alexandria: Pr5HoGa5 after structural relaxation (PBE-GGA).

- mass density (g/cm³) = 6.7
- crystal system = monoclinic
- total energy (eV/atom) = -4.30
- formation enthalpy at 0 K (eV/atom) = -0.34

```
Pr5HoGa5
1.0
5.733 0.000 0.000
-2.866 8.161 0.433
0.000 -2.488 6.366
Ga Pr Ho
5 5 1
Direct
0.169 0.337 0.968
0.165 0.330 0.363
0.500 0.000 0.000
0.835 0.670 0.637
0.831 0.663 0.032
0.631 0.261 0.702
0.307 0.614 0.761
0.693 0.386 0.239
0.369 0.739 0.298
0.000 0.000 0.500
0.000 0.000 0.000
```

=====

Record 3
Entry from Alexandria: Pr2Ho3Ga4 after structural relaxation (PBE-GGA).

- mass density (g/cm³) = 7.5
- crystal system = monoclinic
- total energy (eV/atom) = -4.51
- formation enthalpy at 0 K (eV/atom) = -0.58

```
Pr2Ho3Ga4
1.0
-0.414 -2.642 -7.142
-5.971 -3.404 4.084
-4.824 6.093 -1.974
Pr Ho Ga
4 6 8
Direct
0.925 0.809 0.820
0.575 0.191 0.320
0.425 0.809 0.680
0.075 0.191 0.180
0.251 0.242 0.675
0.000 0.500 0.500
0.500 0.500 0.000
0.751 0.242 0.825
0.249 0.758 0.175
0.749 0.758 0.325
0.869 0.080 0.531
0.122 0.505 0.881
0.622 0.505 0.619
0.878 0.495 0.119
0.378 0.495 0.381
0.631 0.920 0.031
0.369 0.080 0.969
0.131 0.920 0.469
```

=====

Record 4
Entry from Alexandria: PrHoGa4 after structural relaxation (PBE-GGA).

- mass density (g/cm³) = 7.4
- crystal system = hexagonal
- total energy (eV/atom) = -4.24
- formation enthalpy at 0 K (eV/atom) = -0.66

```
PrHoGa4
1.0
-0.585 2.909 3.040
-3.067 -2.806 -0.873
3.233 -5.308 5.703
Ga Pr Ho
4 1 1
Direct
0.333 0.667 0.239
0.667 0.333 0.761
0.667 0.333 0.239
0.333 0.667 0.761
0.000 0.000 0.500
0.000 0.000 0.000
```

=====

Record 5
Entry from Alexandria: Pr3HoGa2 after structural relaxation (PBE-GGA).

- mass density (g/cm³) = 7.0
- crystal system = monoclinic
- total energy (eV/atom) = -4.52
- formation enthalpy at 0 K (eV/atom) = -0.35

```
Pr3HoGa2
1.0
5.171 0.000 0.000
-2.585 10.800 -0.201
0.000 -5.094 6.301
Ho Ga Pr
2 4 6
Direct
0.166 0.331 0.050
0.834 0.669 0.950
0.533 0.066 0.899
0.781 0.562 0.226
0.467 0.934 0.101
0.219 0.438 0.774
0.319 0.639 0.636
0.380 0.760 0.293
0.943 0.886 0.707
0.620 0.240 0.707
0.057 0.114 0.293
0.681 0.361 0.364
```

=====

Record 6
Entry from Alexandria: PrHo3Ga2 after structural relaxation (PBE-GGA).

- mass density (g/cm³) = 7.9
- crystal system = monoclinic
- total energy (eV/atom) = -4.43
- formation enthalpy at 0 K (eV/atom) = -0.33

```
PrHo3Ga2
1.0
-3.455 3.778 0.350
-4.353 -7.106 -3.881
1.647 0.704 8.664
Ho Pr Ga
6 2 4
Direct
0.379 0.758 0.268
0.936 0.873 0.589
0.688 0.376 0.386
0.621 0.242 0.732
0.064 0.127 0.411
0.312 0.624 0.614
0.870 0.739 0.928
0.130 0.261 0.072
0.776 0.551 0.166
0.224 0.449 0.834
0.511 0.023 0.873
0.489 0.977 0.127
```

=====

Record 7
Entry from Alexandria: PrHo3Ga2 after structural relaxation (PBE-GGA).

- mass density (g/cm³) = 8.2
- crystal system = orthorhombic
- total energy (eV/atom) = -4.50
- formation enthalpy at 0 K (eV/atom) = -0.41

```
PrHo3Ga2
1.0
4.953 0.000 0.000
0.000 6.637 0.000
0.000 0.000 9.592
Ho Ga Pr
6 4 2
Direct
0.000 0.963 0.054
0.000 0.463 0.946
0.500 0.167 0.826
0.000 0.832 0.689
0.500 0.667 0.174
0.000 0.332 0.311
0.500 0.711 0.864
0.000 0.285 0.643
0.000 0.785 0.357
0.500 0.211 0.136
0.500 0.042 0.450
0.500 0.542 0.550
```

=====

Record 8
Entry from Alexandria: Pr3HoGa4 after structural relaxation (PBE-GGA).

- mass density (g/cm³) = 6.5
- crystal system = orthorhombic
- total energy (eV/atom) = -4.30
- formation enthalpy at 0 K (eV/atom) = -0.42

```
Pr3HoGa4
1.0
3.800 0.000 0.000
0.000 6.816 -0.802
-1.900 -2.411 8.848
Ga Pr Ho
4 3 1
Direct
0.627 0.434 0.254
0.627 0.820 0.254
0.373 0.180 0.746
0.373 0.566 0.746
0.000 0.500 0.000
0.202 0.202 0.404
0.798 0.798 0.596
0.500 0.000 0.000
```

=====

Record 9
Entry from Alexandria: PrHoGa4 after structural relaxation (PBE-GGA).

- mass density (g/cm³) = 7.3
- crystal system = tetragonal
- total energy (eV/atom) = -4.22
- formation enthalpy at 0 K (eV/atom) = -0.64

```
PrHoGa4
1.0
4.040 0.000 -1.248
-0.385 4.022 -1.248
0.250 0.275 7.975
Pr Ga Ho
1 4 1
Direct
0.250 0.750 0.500
0.582 0.582 0.164
0.666 0.166 0.331
0.834 0.334 0.669
0.418 0.418 0.836
0.000 0.000 0.000
```

=====

Record 10
Entry from Alexandria: PrHoGa2 after structural relaxation (PBE-GGA).

- mass density (g/cm³) = 6.9
- crystal system = trigonal
- total energy (eV/atom) = -4.23
- formation enthalpy at 0 K (eV/atom) = -0.38

```
PrHoGa2
1.0
3.734 0.000 0.000
1.867 3.234 0.000
1.867 1.078 8.812
Ga Ho Pr
2 1 1
Direct
0.253 0.253 0.240
0.747 0.747 0.760
0.000 0.000 0.000
0.500 0.500 0.500
```

=====

Record 11
Entry from Alexandria: Pr8HoGa6 after structural relaxation (PBE-GGA).

- mass density (g/cm³) = 6.5
- crystal system = trigonal
- total energy (eV/atom) = -4.42
- formation enthalpy at 0 K (eV/atom) = -0.35

```
Pr8HoGa6
1.0
8.908 0.000 0.000
4.454 7.715 0.000
4.454 2.572 6.370
Ga Pr Ho
6 8 1
Direct
0.270 0.620 0.164
0.380 0.054 0.836
0.730 0.380 0.836
0.620 0.946 0.164
0.946 0.270 0.164
0.054 0.730 0.836
0.113 0.448 0.659
0.334 0.334 0.998
0.780 0.113 0.659
0.666 0.666 0.002
0.448 0.780 0.659
0.552 0.220 0.341
0.220 0.887 0.341
0.887 0.552 0.341
0.000 0.000 0.000
```

=====

Record 12
Entry from Alexandria: Pr2Ho3Ga2 after structural relaxation (PBE-GGA).

- mass density (g/cm³) = 7.5
- crystal system = monoclinic
- total energy (eV/atom) = -4.50
- formation enthalpy at 0 K (eV/atom) = -0.31

```
Pr2Ho3Ga2
1.0
4.243 0.000 0.000
-2.122 6.072 -0.240
0.000 -3.095 7.993
Pr Ga Ho
2 2 3
Direct
0.851 0.701 0.192
0.149 0.299 0.808
0.834 0.668 0.785
0.166 0.332 0.215
0.376 0.751 0.559
0.500 0.000 0.000
0.624 0.249 0.441
```